[1]
RbCdSbI6 PBE relaxed; V = 440 Å³/cell; symmetry = P312 (149); uncorrected formation energy = -663.0 meV per atom
1.0
-3.1323 5.1786 4.9918
-6.9572 3.2622 -1.5855
-3.7915 -6.1454 3.9932
I Sb Cd Rb
6 1 1 1
Direct
0.0027 0.6278 0.7140
0.0027 0.3694 0.2860
0.6278 0.0027 0.2860
0.6278 0.3695 0.7140
0.3694 0.0027 0.7140
0.3695 0.6278 0.2860
0.6666 0.6666 0.5000
0.3333 0.3334 0.5000
0.0000 0.0000 0.0000

[2]
Mn2InGa2 PBE relaxed; E above lowest polymorph = 0 meV per atom; calculated formation energy = 0.4 eV/f.u.; V = 164 Å³/cell; symmetry = P4/mbm (127)
1.0
7.5901 0.0000 0.0000
0.0000 7.5901 0.0000
0.0000 0.0000 2.8516
Mn In Ga
4 2 4
Direct
0.6736 0.8264 0.5000
0.8264 0.3264 0.5000
0.1736 0.6736 0.5000
0.3264 0.1736 0.5000
0.5000 0.5000 0.0000
0.0000 0.0000 0.0000
0.3766 0.8766 0.0000
0.6234 0.1234 0.0000
0.8766 0.6234 0.0000
0.1234 0.3766 0.0000

> What is the formula in the second record?

Mn2InGa2

> V of number 2 (Mn2InGa2)?

164 Å³/cell